# 1
Here is an optimized crystal structure of PrSmI3 from Alexandria. Energies are from PBE.

Cell lengths 19.995, 4.205, 12.526 Å; angles 90.00, 124.40, 90.00 degrees
Space group C2/m (No. 12)
One atom of each set of equivalent atoms:
Pr  0.135  0.000  0.281 (multiplicity 4)
Sm  0.069  0.500  0.960 (multiplicity 4)
I  0.035  0.000  0.745 (multiplicity 4)
I  0.164  0.500  0.506 (multiplicity 4)
I  0.214  0.000  0.120 (multiplicity 4)

Output
- relative energy among the computed polymorphs (meV per atom) = 0.0


# 2
Here is an optimized crystal structure of Pr2SmI8 from Alexandria. Energies are from PBE.

Cell lengths 16.140, 11.461, 6.635 Å; angles 90.00, 90.34, 90.00 degrees
Space group C2/m (No. 12)
One atom of each set of equivalent atoms:
Pr  0.198  0.000  0.199 (multiplicity 4)
Sm  0.000  0.000  0.500 (multiplicity 2)
I  0.078  0.205  0.249 (multiplicity 8)
I  0.120  0.500  0.752 (multiplicity 4)
I  0.178  0.000  0.718 (multiplicity 4)


# 3
Here is an optimized crystal structure of Pr2SmI6 from Alexandria. Energies are from PBE.

Cell lengths 8.022, 8.022, 12.151 Å; angles 90.00, 90.00, 90.00 degrees
Space group P4_2/mnm (No. 136)
One atom of each set of equivalent atoms:
Pr  0.000  0.000  0.162 (multiplicity 4)
Sm  0.000  0.000  0.500 (multiplicity 2)
I  0.214  0.214  0.335 (multiplicity 8)
I  0.222  0.222  0.000 (multiplicity 4)

Output
- relative energy among the computed polymorphs (meV per atom) = 109.3


# 4
Here is an optimized crystal structure of PrSmI3 from Alexandria. Energies are from PBE.

Cell lengths 20.293, 4.248, 11.762 Å; angles 90.00, 111.69, 90.00 degrees
Space group C2/m (No. 12)
One atom of each set of equivalent atoms:
Pr  0.082  0.000  0.251 (multiplicity 4)
Sm  0.077  0.500  0.968 (multiplicity 4)
I  0.077  0.000  0.762 (multiplicity 4)
I  0.138  0.500  0.466 (multiplicity 4)
I  0.196  0.000  0.128 (multiplicity 4)

Output
- relative energy among the computed polymorphs (meV per atom) = 24.9


# 5
Here is an optimized crystal structure of PrSm2I8 from Alexandria. Energies are from PBE.

Cell lengths 18.742, 9.081, 7.538 Å; angles 90.00, 94.43, 90.00 degrees
Space group C2/m (No. 12)
One atom of each set of equivalent atoms:
Pr  0.000  0.000  0.000 (multiplicity 2)
Sm  0.147  0.000  0.414 (multiplicity 4)
I  0.063  0.256  0.259 (multiplicity 8)
I  0.149  0.000  0.815 (multiplicity 4)
I  0.205  0.500  0.671 (multiplicity 4)


# 6
Here is an optimized crystal structure of Pr2SmI6 from Alexandria. Energies are from PBE.

Cell lengths 20.424, 4.237, 9.578 Å; angles 90.00, 111.77, 90.00 degrees
Space group C2/m (No. 12)
One atom of each set of equivalent atoms:
Pr  0.174  0.000  0.351 (multiplicity 4)
Sm  0.000  0.500  0.000 (multiplicity 2)
I  0.002  0.000  0.244 (multiplicity 4)
I  0.162  0.500  0.592 (multiplicity 4)
I  0.164  0.500  0.087 (multiplicity 4)

Output
- relative energy among the computed polymorphs (meV per atom) = 0.0


no.,raw formation energy (eV/atom),density (Mg/m³)
1,-1.133,5.137
2,-1.235,3.917
3,-1.185,5.070
4,-1.108,4.738
5,-1.243,3.783
6,-1.294,5.149